Computed, not measured: a relaxed structure of Pm3Dy3Ho8 at the PBE level of DFT.

Crystal system: orthorhombic
Formation energy from the elements (kJ/mol of atoms): 10.6
VASP energy (eV per cell): -63.146
M_tot (μB/f.u.): 0.0

abc: 9.636 9.636 9.636
angles: 146.04 111.98 78.24
Fractional positions:
Pm 0.000 0.000 0.000
Pm 0.183 0.683 0.500
Pm 0.817 0.317 0.500
Dy 0.204 0.500 0.704
Dy 0.500 0.500 0.000
Dy 0.796 0.500 0.296
Ho 0.119 0.279 0.840
Ho 0.239 0.897 0.342
Ho 0.439 0.279 0.160
Ho 0.445 0.103 0.342
Ho 0.555 0.897 0.658
Ho 0.561 0.721 0.840
Ho 0.761 0.103 0.658
Ho 0.881 0.721 0.160